# 1
Density functional theory data (PBE) for a relaxed Rb3Ge2Te5 crystal.

a = 9.3469 Å, b = 21.9256 Å, c = 8.1599 Å
α = 90.00°, β = 90.00°, γ = 90.00°
With the nearest neighbours (Å) after each atom.
Space group Ibam (No. 72)
Symmetry-distinct sites (fractional):
Rb 0.0000 0.0000 0.2500  4 Ge 3.47, 4 Te 3.80
Rb 0.1477 0.3435 0.0000  1 Ge 3.52, 3 Te 3.75-3.84
Ge 0.0187 0.1279 0.0000  3 Te 2.72-2.82
Te 0.0000 0.2094 0.2500  2 Ge 2.72
Te 0.0000 0.5000 0.2500  4 Te 3.25
Te 0.2056 0.4247 0.5000  1 Ge 2.82

Properties
Formation energy (no corrections): -0.359 eV per atom
Final energy: -0.2311 Ry per atom

---

# 2
Density functional theory data (PBE) for a relaxed Ac2Al3CuPt12 crystal.

a = 8.1625 Å, b = 8.1625 Å, c = 19.4268 Å
α = 90.00°, β = 90.00°, γ = 120.00°
With the nearest neighbours (Å) after each atom.
Space group R-3m (No. 166, hexagonal axes)
Symmetry-distinct sites (fractional):
Ac 0.0000 0.0000 0.1263  6 Pt 2.88-2.94
Al 0.0000 0.5000 0.0000  6 Pt 2.42-2.46
Cu 0.0000 0.0000 0.5000  6 Pt 2.46
Pt 0.0049 0.5025 0.1246  1 Al 2.42, 1 Cu 2.46
Pt 0.0077 0.5039 0.3734  2 Al 2.46

Properties
Final energy: -0.4266 Ry per atom